Record 1
Here is a relaxed Tb3DyErTh crystal from Alexandria. Energies are from PBE.

## Properties
Energy: -60.7 eV for the cell shown
E_form: 2.1 kJ per mole of atoms

a b c (Å): 10.638 3.564 10.644
angles (deg): 90.00 109.27 90.00
Space group P2_1/m (No. 11)
Asymmetric unit:
1 Tb 0.041 0.250 0.371 [2 per cell]
2 Tb 0.291 0.750 0.625 [2 per cell]
3 Tb 0.457 0.750 0.126 [2 per cell]
4 Dy 0.374 0.250 0.373 [2 per cell]
5 Er 0.207 0.250 0.879 [2 per cell]
6 Th 0.123 0.750 0.124 [2 per cell]


Record 2
Here is a relaxed Tb6DyEr2Th crystal from Alexandria. Energies are from PBE.

## Properties
Energy: -189.8 eV for the cell shown
E_form: 14.4 kJ per mole of atoms

a b c (Å): 9.281 14.887 9.362
angles (deg): 90.00 95.44 90.00
Space group C2/c (No. 15)
Asymmetric unit:
1 Tb 0.059 0.175 0.441 [8 per cell]
2 Tb 0.095 0.386 0.613 [8 per cell]
3 Tb 0.210 0.222 0.815 [8 per cell]
4 Dy 0.000 0.410 0.250 [4 per cell]
5 Er 0.248 0.450 0.946 [8 per cell]
6 Th 0.000 0.034 0.750 [4 per cell]


Record 3
Here is a relaxed Tb2DyEr2Th2 crystal from Alexandria. Energies are from PBE.

## Properties
Energy: -73.4 eV for the cell shown
E_form: 15.6 kJ per mole of atoms

a b c (Å): 11.515 3.424 11.744
angles (deg): 90.00 101.48 90.00
Space group C2/m (No. 12)
Asymmetric unit:
1 Tb 0.095 0.000 0.278 [4 per cell]
2 Dy 0.000 0.500 0.000 [2 per cell]
3 Er 0.206 0.000 0.871 [4 per cell]
4 Th 0.148 0.000 0.568 [4 per cell]


Record 4
Here is a relaxed Tb6DyErTh2 crystal from Alexandria. Energies are from PBE.

## Properties
Energy: -201.3 eV for the cell shown
E_form: 14.2 kJ per mole of atoms

a b c (Å): 8.926 14.740 10.100
angles (deg): 90.00 102.38 90.00
Space group C2/c (No. 15)
Asymmetric unit:
1 Tb 0.074 0.187 0.448 [8 per cell]
2 Tb 0.093 0.400 0.617 [8 per cell]
3 Tb 0.202 0.224 0.822 [8 per cell]
4 Dy 0.000 0.010 0.750 [4 per cell]
5 Er 0.000 0.403 0.250 [4 per cell]
6 Th 0.228 0.046 0.043 [8 per cell]


Record 5
Here is a relaxed TbDy5ErTh2 crystal from Alexandria. Energies are from PBE.

## Properties
Energy: -175.7 eV for the cell shown
E_form: 33.3 kJ per mole of atoms

a b c (Å): 8.741 8.741 15.482
angles (deg): 90.00 90.00 90.00
Space group I4/mcm (No. 140)
Asymmetric unit:
1 Tb 0.000 0.000 0.250 [4 per cell]
2 Dy 0.000 0.000 0.000 [4 per cell]
3 Dy 0.211 0.289 0.140 [16 per cell]
4 Er 0.000 0.500 0.250 [4 per cell]
5 Th 0.120 0.380 0.500 [8 per cell]


Record 6
Here is a relaxed TbDy5Er2Th crystal from Alexandria. Energies are from PBE.

## Properties
Energy: -170.9 eV for the cell shown
E_form: 15.6 kJ per mole of atoms

a b c (Å): 5.684 21.450 9.662
angles (deg): 90.00 90.00 90.00
Space group Cmc2_1 (No. 36)
Asymmetric unit:
1 Tb 0.000 0.189 0.000 [4 per cell]
2 Dy 0.000 0.014 0.000 [4 per cell]
3 Dy 0.000 0.272 0.305 [4 per cell]
4 Dy 0.000 0.304 0.698 [4 per cell]
5 Dy 0.000 0.399 0.024 [4 per cell]
6 Dy 0.000 0.468 0.724 [4 per cell]
7 Er 0.000 0.116 0.313 [4 per cell]
8 Er 0.000 0.129 0.694 [4 per cell]
9 Th 0.000 0.406 0.404 [4 per cell]


Record 7
Here is a relaxed TbDyErTh crystal from Alexandria. Energies are from PBE.

## Properties
E above lowest polymorph: 13.6 kJ per mole of atoms
Energy: -82.5 eV for the cell shown
E_form: 14.1 kJ per mole of atoms

a b c (Å): 7.997 7.997 7.997
angles (deg): 90.00 90.00 90.00
Space group F-43m (No. 216)
Asymmetric unit:
1 Tb 0.000 0.000 0.000 [4 per cell]
2 Dy 0.250 0.250 0.750 [4 per cell]
3 Er 0.250 0.250 0.250 [4 per cell]
4 Th 0.000 0.000 0.500 [4 per cell]


Record 8
Here is a relaxed Tb2Dy2Er2Th crystal from Alexandria. Energies are from PBE.

## Properties
Energy: -66.6 eV for the cell shown
E_form: 23.7 kJ per mole of atoms

a b c (Å): 17.398 3.361 8.859
angles (deg): 90.00 118.90 90.00
Space group C2/m (No. 12)
Asymmetric unit:
1 Tb 0.198 0.000 0.118 [4 per cell]
2 Dy 0.074 0.500 0.713 [4 per cell]
3 Er 0.152 0.500 0.424 [4 per cell]
4 Th 0.000 0.500 0.000 [2 per cell]


Record 9
Here is a relaxed TbDyErTh crystal from Alexandria. Energies are from PBE.

## Properties
E above lowest polymorph: 0.0 kJ per mole of atoms
Energy: -63.6 eV for the cell shown
E_form: 0.6 kJ per mole of atoms

a b c (Å): 3.5797 3.5797 34.1906
angles (deg): 90.00 90.00 120.00
Space group R3m (No. 160, hexagonal axes)
Asymmetric unit:
1 Tb 0.0000 0.0000 0.0000 [3 per cell]
2 Dy 0.0000 0.0000 0.2490 [3 per cell]
3 Er 0.0000 0.0000 0.8316 [3 per cell]
4 Th 0.0000 0.0000 0.4158 [3 per cell]


Record 10
Here is a relaxed Tb6DyEr2Th3 crystal from Alexandria. Energies are from PBE.

## Properties
Energy: -126.9 eV for the cell shown
E_form: 2.5 kJ per mole of atoms

a b c (Å): 6.174 10.685 11.752
angles (deg): 90.00 100.09 90.00
Space group C2/m (No. 12)
Asymmetric unit:
1 Tb 0.249 0.000 0.247 [4 per cell]
2 Tb 0.249 0.333 0.247 [8 per cell]
3 Dy 0.000 0.000 0.500 [2 per cell]
4 Er 0.000 0.333 0.500 [4 per cell]
5 Th 0.000 0.167 0.000 [4 per cell]
6 Th 0.000 0.500 0.000 [2 per cell]


Record 11
Here is a relaxed TbDyEr5Th2 crystal from Alexandria. Energies are from PBE.

## Properties
Energy: -175.1 eV for the cell shown
E_form: 33.4 kJ per mole of atoms

a b c (Å): 8.715 8.715 15.353
angles (deg): 90.00 90.00 90.00
Space group I4/mcm (No. 140)
Asymmetric unit:
1 Tb 0.000 0.500 0.250 [4 per cell]
2 Dy 0.000 0.000 0.250 [4 per cell]
3 Er 0.000 0.000 0.000 [4 per cell]
4 Er 0.210 0.290 0.140 [16 per cell]
5 Th 0.119 0.381 0.500 [8 per cell]


Record 12
Here is a relaxed TbDy2Er5Th crystal from Alexandria. Energies are from PBE.

## Properties
Energy: -170.3 eV for the cell shown
E_form: 16.0 kJ per mole of atoms

a b c (Å): 5.657 21.360 9.655
angles (deg): 90.00 90.00 90.00
Space group Cmc2_1 (No. 36)
Asymmetric unit:
1 Tb 0.000 0.191 0.000 [4 per cell]
2 Dy 0.000 0.115 0.689 [4 per cell]
3 Dy 0.000 0.130 0.307 [4 per cell]
4 Er 0.000 0.014 0.999 [4 per cell]
5 Er 0.000 0.271 0.692 [4 per cell]
6 Er 0.000 0.305 0.300 [4 per cell]
7 Er 0.000 0.398 0.977 [4 per cell]
8 Er 0.000 0.469 0.277 [4 per cell]
9 Th 0.000 0.405 0.595 [4 per cell]


Record 13
Here is a relaxed TbDy2ErTh crystal from Alexandria. Energies are from PBE.

## Properties
Energy: -48.3 eV for the cell shown
E_form: 32.3 kJ per mole of atoms

a b c (Å): 8.484 6.335 6.291
angles (deg): 90.00 96.78 90.00
Space group P2/c (No. 13)
Asymmetric unit:
1 Tb 0.000 0.000 0.000 [2 per cell]
2 Dy 0.313 0.303 0.215 [4 per cell]
3 Er 0.500 0.181 0.750 [2 per cell]
4 Th 0.000 0.448 0.750 [2 per cell]


Record 14
Here is a relaxed TbDyEr2Th crystal from Alexandria. Energies are from PBE.

## Properties
Energy: -48.2 eV for the cell shown
E_form: 32.6 kJ per mole of atoms

a b c (Å): 8.481 6.354 6.278
angles (deg): 90.00 98.10 90.00
Space group P2/c (No. 13)
Asymmetric unit:
1 Tb 0.000 0.000 0.000 [2 per cell]
2 Dy 0.500 0.179 0.250 [2 per cell]
3 Er 0.313 0.308 0.708 [4 per cell]
4 Th 0.000 0.447 0.250 [2 per cell]


Record 15
Here is a relaxed TbDy6Er2Th3 crystal from Alexandria. Energies are from PBE.

## Properties
Energy: -126.7 eV for the cell shown
E_form: 2.3 kJ per mole of atoms

a b c (Å): 6.163 10.668 11.712
angles (deg): 90.00 100.11 90.00
Space group C2/m (No. 12)
Asymmetric unit:
1 Tb 0.000 0.000 0.000 [2 per cell]
2 Dy 0.249 0.000 0.747 [4 per cell]
3 Dy 0.249 0.333 0.747 [8 per cell]
4 Er 0.000 0.333 0.000 [4 per cell]
5 Th 0.000 0.167 0.500 [4 per cell]
6 Th 0.000 0.500 0.500 [2 per cell]


Record 16
Here is a relaxed Tb2Dy6ErTh crystal from Alexandria. Energies are from PBE.

## Properties
Energy: -189.4 eV for the cell shown
E_form: 14.5 kJ per mole of atoms

a b c (Å): 9.186 14.900 9.422
angles (deg): 90.00 96.14 90.00
Space group C2/c (No. 15)
Asymmetric unit:
1 Tb 0.249 0.050 0.448 [8 per cell]
2 Dy 0.059 0.321 0.941 [8 per cell]
3 Dy 0.097 0.112 0.114 [8 per cell]
4 Dy 0.207 0.278 0.315 [8 per cell]
5 Er 0.000 0.091 0.750 [4 per cell]
6 Th 0.000 0.469 0.250 [4 per cell]


Record 17
Here is a relaxed Tb2Dy6Er3Tl crystal from Alexandria. Energies are from PBE.

## Properties
Energy: -106.3 eV for the cell shown
E_form: -1.7 kJ per mole of atoms

a b c (Å): 6.069 10.521 11.623
angles (deg): 90.00 100.09 90.00
Space group C2/m (No. 12)
Asymmetric unit:
1 Tb 0.000 0.166 0.000 [4 per cell]
2 Dy 0.246 0.500 0.749 [4 per cell]
3 Dy 0.247 0.335 0.249 [8 per cell]
4 Er 0.000 0.000 0.500 [2 per cell]
5 Er 0.000 0.333 0.500 [4 per cell]
6 Tl 0.000 0.500 0.000 [2 per cell]


Record 18
Here is a relaxed Tb2DyErTl2 crystal from Alexandria. Energies are from PBE.

## Properties
Energy: -49.5 eV for the cell shown
E_form: -26.0 kJ per mole of atoms

a b c (Å): 5.096 9.972 6.812
angles (deg): 90.00 90.00 90.00
Space group Pmc2_1 (No. 26)
Asymmetric unit:
1 Tb 0.000 0.042 0.000 [2 per cell]
2 Tb 0.500 0.187 0.281 [2 per cell]
3 Dy 0.500 0.458 0.910 [2 per cell]
4 Er 0.000 0.313 0.628 [2 per cell]
5 Tl 0.000 0.369 0.166 [2 per cell]
6 Tl 0.500 0.137 0.746 [2 per cell]


Record 19
Here is a relaxed TbDyErTl crystal from Alexandria. Energies are from PBE.

## Properties
E above lowest polymorph: 0.0 kJ per mole of atoms
Energy: -16.9 eV for the cell shown
E_form: -17.1 kJ per mole of atoms

a b c (Å): 4.831 4.839 4.857
angles (deg): 90.00 90.00 90.00
Space group Pmmm (No. 47)
Asymmetric unit:
1 Tb 0.000 0.000 0.000 [1 per cell]
2 Dy 0.500 0.500 0.000 [1 per cell]
3 Er 0.500 0.000 0.500 [1 per cell]
4 Tl 0.000 0.500 0.500 [1 per cell]


Record 20
Here is a relaxed TbDyEr2Tl2 crystal from Alexandria. Energies are from PBE.

## Properties
Energy: -49.4 eV for the cell shown
E_form: -25.6 kJ per mole of atoms

a b c (Å): 5.079 9.946 6.786
angles (deg): 90.00 90.00 90.00
Space group Pmc2_1 (No. 26)
Asymmetric unit:
1 Tb 0.000 0.041 0.000 [2 per cell]
2 Dy 0.500 0.189 0.720 [2 per cell]
3 Er 0.000 0.314 0.373 [2 per cell]
4 Er 0.500 0.459 0.091 [2 per cell]
5 Tl 0.000 0.368 0.837 [2 per cell]
6 Tl 0.500 0.136 0.254 [2 per cell]